Run a
# Cs2BrN2 PBE-GGA relaxed
# Density of states at the Fermi level = 0.80 states/eV/atom
# Calculated volume = 31.78 Å³/atom
data_Cs2BrN2
_chemical_formula_sum 'Cs4 Br2 N4'
_cell_length_a 8.7306
_cell_length_b 8.7306
_cell_length_c 4.1691
_cell_angle_alpha 90.00
_cell_angle_beta 90.00
_cell_angle_gamma 90.00
_symmetry_space_group_name_H-M 'P 1'
_symmetry_Int_Tables_number 1
loop_
_symmetry_equiv_pos_as_xyz
'x,y,z'
loop_
_atom_site_label
_atom_site_type_symbol
_atom_site_fract_x
_atom_site_fract_y
_atom_site_fract_z
Br1 Br 0.5000 0.5000 0.0000
N1 N 0.9521 0.5479 0.0000
Cs1 Cs 0.2244 0.7244 0.5000
Br2 Br 0.0000 0.0000 0.0000
N2 N 0.4521 0.9521 0.0000
Cs2 Cs 0.7756 0.2756 0.5000
Cs3 Cs 0.7244 0.7756 0.5000
N3 N 0.5479 0.0479 0.0000
Cs4 Cs 0.2756 0.2244 0.5000
N4 N 0.0479 0.4521 0.0000

***

Run b
# Cs2BrN2 PBE-GGA relaxed
# Density of states at the Fermi level = 0.52 states/eV/atom
# Calculated volume = 36.70 Å³/atom
data_Cs2BrN2
_chemical_formula_sum 'Cs2 Br1 N2'
_cell_length_a 5.0142
_cell_length_b 4.9968
_cell_length_c 8.8688
_cell_angle_alpha 77.10
_cell_angle_beta 73.58
_cell_angle_gamma 59.89
_symmetry_space_group_name_H-M 'P 1'
_symmetry_Int_Tables_number 1
loop_
_symmetry_equiv_pos_as_xyz
'x,y,z'
loop_
_atom_site_label
_atom_site_type_symbol
_atom_site_fract_x
_atom_site_fract_y
_atom_site_fract_z
Cs1 Cs 0.7682 0.7248 0.7388
N1 N 0.4574 0.6223 0.4628
Br1 Br 0.0000 0.0000 0.0000
N2 N 0.5426 0.3777 0.5372
Cs2 Cs 0.2318 0.2752 0.2612

***

Run c
# Cs2BrN2 PBE-GGA relaxed
# Density of states at the Fermi level = 0.55 states/eV/atom
# Calculated volume = 35.36 Å³/atom
data_Cs2BrN2
_chemical_formula_sum 'Cs2 Br1 N2'
_cell_length_a 4.5448
_cell_length_b 4.5448
_cell_length_c 9.1438
_cell_angle_alpha 75.61
_cell_angle_beta 75.61
_cell_angle_gamma 90.00
_symmetry_space_group_name_H-M 'P 1'
_symmetry_Int_Tables_number 1
loop_
_symmetry_equiv_pos_as_xyz
'x,y,z'
loop_
_atom_site_label
_atom_site_type_symbol
_atom_site_fract_x
_atom_site_fract_y
_atom_site_fract_z
Br1 Br 0.0000 0.0000 0.0000
N1 N 0.7500 0.2500 0.5000
N2 N 0.2500 0.7500 0.5000
Cs1 Cs 0.3780 0.3780 0.2440
Cs2 Cs 0.6220 0.6220 0.7560

***

Run d
# Cs2BrN2 PBE-GGA relaxed
# Density of states at the Fermi level = 1.03 states/eV/atom
# Calculated volume = 32.51 Å³/atom
data_Cs2BrN2
_chemical_formula_sum 'Cs2 Br1 N2'
_cell_length_a 5.9682
_cell_length_b 5.9682
_cell_length_c 6.2159
_cell_angle_alpha 61.31
_cell_angle_beta 61.31
_cell_angle_gamma 90.00
_symmetry_space_group_name_H-M 'P 1'
_symmetry_Int_Tables_number 1
loop_
_symmetry_equiv_pos_as_xyz
'x,y,z'
loop_
_atom_site_label
_atom_site_type_symbol
_atom_site_fract_x
_atom_site_fract_y
_atom_site_fract_z
Br1 Br 0.0000 0.0000 0.0000
N1 N 0.4351 0.4351 0.1298
Cs1 Cs 0.2500 0.7500 0.5000
N2 N 0.5649 0.5649 0.8702
Cs2 Cs 0.7500 0.2500 0.5000

***

Stability comparison, relative energies in eV/atom: run a 0.057; run b 0.000; run c 1.609; run d 0.066

***

Run a
# CsTeBrN2 PBE-GGA relaxed
# Density of states at the Fermi level = 0.50 states/eV/atom
# Calculated volume = 31.41 Å³/atom
data_CsTeBrN2
_chemical_formula_sum 'Cs1 Te1 Br1 N2'
_cell_length_a 5.2077
_cell_length_b 5.2077
_cell_length_c 5.7914
_cell_angle_alpha 90.00
_cell_angle_beta 90.00
_cell_angle_gamma 90.00
_symmetry_space_group_name_H-M 'P 1'
_symmetry_Int_Tables_number 1
loop_
_symmetry_equiv_pos_as_xyz
'x,y,z'
loop_
_atom_site_label
_atom_site_type_symbol
_atom_site_fract_x
_atom_site_fract_y
_atom_site_fract_z
Br1 Br 0.0000 0.0000 0.0000
N1 N 0.5000 0.0000 0.0000
N2 N 0.0000 0.5000 0.0000
Cs1 Cs 0.5000 0.5000 0.5000
Te1 Te 0.0000 0.0000 0.5000

***

Run b
# CsTeBrN2 PBE-GGA relaxed
# Density of states at the Fermi level = 0.97 states/eV/atom
# Calculated volume = 33.14 Å³/atom
data_CsTeBrN2
_chemical_formula_sum 'Cs1 Te1 Br1 N2'
_cell_length_a 4.5209
_cell_length_b 4.5209
_cell_length_c 8.1078
_cell_angle_alpha 90.00
_cell_angle_beta 90.00
_cell_angle_gamma 90.00
_symmetry_space_group_name_H-M 'P 1'
_symmetry_Int_Tables_number 1
loop_
_symmetry_equiv_pos_as_xyz
'x,y,z'
loop_
_atom_site_label
_atom_site_type_symbol
_atom_site_fract_x
_atom_site_fract_y
_atom_site_fract_z
N1 N 0.5000 0.0000 0.0000
Te1 Te 0.0000 0.0000 0.5000
Cs1 Cs 0.0000 0.0000 0.0000
N2 N 0.0000 0.5000 0.0000
Br1 Br 0.5000 0.5000 0.5000

***

Stability comparison, relative energies in eV/atom: run a 0.000; run b 0.412